#1
VASP calculation (SCAN) on a PBEsol-optimized structure of TlCuCl2.

Calculated values
Volume in Å³/cell: 101.7
Space group: Pm

POSCAR file:
```
TlCuCl2
1.0
4.7214 0.0000 0.0000
0.0000 3.8369 0.0000
-2.3581 0.0000 5.6154
Tl Cu Cl
1 1 2
Cartesian
0.0000 0.0000 0.0000
-0.0170 1.9184 4.2033
-0.0021 0.0000 3.0764
2.3610 1.9184 0.7862
```


#2
VASP calculation (SCAN) on a PBEsol-optimized structure of TlCuCl2.

Calculated values
Volume in Å³/cell: 182.3
Space group: I-42d

POSCAR file:
```
TlCuCl2
1.0
-3.6017 3.6017 3.5141
3.6017 -3.6017 3.5141
3.6017 3.6017 -3.5141
Tl Cu Cl
2 2 4
Cartesian
0.0000 0.0000 0.0000
0.0000 3.6017 1.7570
3.6017 0.0000 1.7570
0.0000 0.0000 3.5141
1.8009 -1.1290 2.6355
2.4727 1.8009 0.8785
1.8009 4.7307 -0.8785
1.1290 1.8009 4.3926
```


Energies, relative to the best one, in meV/atom: #1 31; #2 0.


#1
VASP calculation (SCAN) on a PBEsol-optimized structure of CuW2Cl.

Calculated values
Volume in Å³/cell: 60.9
Space group: I4/mmm

POSCAR file:
```
CuW2Cl
1.0
-1.8563 1.8563 4.4191
1.8563 -1.8563 4.4191
1.8563 1.8563 -4.4191
Cu W Cl
1 2 1
Cartesian
0.0000 0.0000 0.0000
1.8563 0.0000 2.2095
0.0000 1.8563 2.2095
0.0000 0.0000 4.4191
```


#2
VASP calculation (SCAN) on a PBEsol-optimized structure of CuW2Cl.

Calculated values
Volume in Å³/cell: 59.7
Space group: I-4m2

POSCAR file:
```
CuW2Cl
1.0
-2.0626 2.0626 3.5101
2.0626 -2.0626 3.5101
2.0626 2.0626 -3.5101
Cu W Cl
1 2 1
Cartesian
0.0000 0.0000 0.0000
0.0000 0.0000 3.5101
0.0000 2.0626 1.7551
2.0626 0.0000 1.7551
```


Energies, relative to the best one, in meV/atom: #1 114; #2 0.


#1
VASP calculation (SCAN) on a PBEsol-optimized structure of Cu2WCl.

Calculated values
Volume in Å³/cell: 55.1
Space group: Cm

POSCAR file:
```
Cu2WCl
1.0
4.1814 -1.3713 0.0000
4.1814 1.3713 0.0000
-0.8687 0.0000 4.8077
Cu W Cl
2 1 1
Cartesian
0.0000 0.0000 0.0000
6.0471 0.0000 0.8611
1.5307 0.0000 3.3412
3.8098 0.0000 2.4797
```


#2
VASP calculation (SCAN) on a PBEsol-optimized structure of Cu2WCl.

Calculated values
Volume in Å³/cell: 55.6
Space group: Cmmm

POSCAR file:
```
Cu2WCl
1.0
2.4016 -4.2828 0.0000
2.4016 4.2828 0.0000
0.0000 0.0000 2.7033
Cu W Cl
2 1 1
Cartesian
1.2008 2.1414 0.0000
1.2008 -2.1414 0.0000
0.0000 0.0000 1.3516
2.4016 0.0000 1.3516
```


#3
VASP calculation (SCAN) on a PBEsol-optimized structure of Cu2WCl.

Calculated values
Volume in Å³/cell: 53.4
Space group: F-43m

POSCAR file:
```
Cu2WCl
1.0
0.0000 2.9884 2.9884
2.9884 0.0000 2.9884
2.9884 2.9884 0.0000
Cu W Cl
2 1 1
Cartesian
0.0000 0.0000 0.0000
1.4942 1.4942 1.4942
2.9884 2.9884 2.9884
4.4827 4.4827 4.4827
```


Energies, relative to the best one, in meV/atom: #1 0; #2 18; #3 416.


#1
VASP calculation (SCAN) on a PBEsol-optimized structure of CuWCl2.

Calculated values
Volume in Å³/cell: 65.2
Space group: P4mm

POSCAR file:
```
CuWCl2
1.0
2.9304 0.0000 0.0000
0.0000 2.9304 0.0000
0.0000 0.0000 7.5921
Cu W Cl
1 1 2
Cartesian
0.0000 0.0000 0.0000
1.4652 1.4652 1.7425
0.0000 0.0000 3.2400
1.4652 1.4652 6.1665
```


#2
VASP calculation (SCAN) on a PBEsol-optimized structure of CuWCl2.

Calculated values
Volume in Å³/cell: 65.5
Space group: F-43m

POSCAR file:
```
CuWCl2
1.0
0.0000 3.2002 3.2002
3.2002 0.0000 3.2002
3.2002 3.2002 0.0000
Cu W Cl
1 1 2
Cartesian
0.0000 0.0000 0.0000
1.6001 1.6001 1.6001
3.2002 3.2002 3.2002
4.8002 4.8002 4.8002
```


#3
VASP calculation (SCAN) on a PBEsol-optimized structure of CuWCl2.

Calculated values
Volume in Å³/cell: 58.5
Space group: Cmmm

POSCAR file:
```
CuWCl2
1.0
2.8792 -3.5419 0.0000
2.8792 3.5419 0.0000
0.0000 0.0000 2.8700
Cu W Cl
1 1 2
Cartesian
0.0000 0.0000 0.0000
2.8792 0.0000 0.0000
1.4396 1.7709 1.4350
1.4396 -1.7709 1.4350
```


Energies, relative to the best one, in meV/atom: #1 0; #2 1090; #3 750.


#1
VASP calculation (SCAN) on a PBEsol-optimized structure of YCuCl2.

Calculated values
Volume in Å³/cell: 103.6
Space group: Immm

POSCAR file:
```
YCuCl2
1.0
-1.7724 2.3634 6.1839
1.7724 -2.3634 6.1839
1.7724 2.3634 -6.1839
Y Cu Cl
1 1 2
Cartesian
0.0000 0.0000 0.0000
0.0000 0.0000 6.1839
1.7724 0.0000 1.9495
0.0000 2.3634 4.2344
```


#2
VASP calculation (SCAN) on a PBEsol-optimized structure of YCuCl2.

Calculated values
Volume in Å³/cell: 74.1
Space group: I-4m2

POSCAR file:
```
YCuCl2
1.0
-2.0575 2.0575 4.3768
2.0575 -2.0575 4.3768
2.0575 2.0575 -4.3768
Y Cu Cl
1 1 2
Cartesian
0.0000 0.0000 0.0000
2.0575 0.0000 2.1884
0.0000 0.0000 4.3768
0.0000 2.0575 2.1884
```


Energies, relative to the best one, in meV/atom: #1 0; #2 256.


#1
VASP calculation (SCAN) on a PBEsol-optimized structure of YCu2Cl.

Calculated values
Volume in Å³/cell: 70.6
Space group: P4/mmm

POSCAR file:
```
YCu2Cl
1.0
3.3422 0.0000 0.0000
0.0000 3.3422 0.0000
0.0000 0.0000 6.3200
Y Cu Cl
1 2 1
Cartesian
0.0000 0.0000 0.0000
1.6711 1.6711 1.7225
1.6711 1.6711 4.5975
0.0000 0.0000 3.1600
```


#2
VASP calculation (SCAN) on a PBEsol-optimized structure of YCu2Cl.

Calculated values
Volume in Å³/cell: 69.0
Space group: Immm

POSCAR file:
```
YCu2Cl
1.0
-1.7104 1.9916 5.0657
1.7104 -1.9916 5.0657
1.7104 1.9916 -5.0657
Y Cu Cl
1 2 1
Cartesian
0.0000 0.0000 0.0000
1.7104 0.0000 2.5147
0.0000 1.9916 2.5510
0.0000 0.0000 5.0657
```


Energies, relative to the best one, in meV/atom: #1 169; #2 0.